Entry 1:
Material: GdZn2Pb
Method: DFT, PBE
State: optimized geometry

abc: 7.153 7.153 7.153
angles: 90.00 90.00 90.00
Space group Fm-3m (No. 225)
One atom of each set of equivalent atoms:
1 Gd 0.000 0.000 0.000
2 Zn 0.250 0.250 0.250
3 Pb 0.000 0.000 0.500

Computed properties:
The density of states at the Fermi level comes out at 14.9 states/eV per cell. For the energy of formation from the pure elements, the calculation gives -0.154 eV/atom.

Entry 2:
Material: Rb3YCd
Method: DFT, PBE
State: optimized geometry

abc: 7.662 7.662 7.662
angles: 90.00 90.00 90.00
Space group Pm-3m (No. 221)
One atom of each set of equivalent atoms:
1 Rb 0.000 0.000 0.500
2 Y 0.000 0.000 0.000
3 Cd 0.500 0.500 0.500

Computed properties:
The density of states at the Fermi level comes out at 30.9 states/eV per cell. For the energy of formation from the pure elements, the calculation gives 0.853 eV/atom.

Result set for energy above the most stable polymorph in this dataset: 108; 220 meV/atom, one per record in the order listed.